Entry 1:
Computed, not measured: crystalline Te3ICl at its relaxed geometry at the PBE level of DFT.

abc: 5.5113 5.5113 5.5113
angles: 90.00 90.00 90.00
Atoms (fractional coordinates):
I 0.5000 0.5000 0.5000
Te 0.0000 0.5000 0.0000
Te 0.0000 0.0000 0.5000
Te 0.5000 0.0000 0.0000
Cl 0.0000 0.0000 0.0000

Properties
Its space group is Pm-3m (221). The energy above the most stable polymorph in this dataset is 0 meV per atom. Its density of states at the Fermi level is 6.849 states/eV per cell. Its formation energy without anion corrections is 0.75 eV per atom.

Entry 2:
Computed, not measured: crystalline TeI2Cl at its relaxed geometry at the PBE level of DFT.

abc: 5.4856 5.4856 5.4856
angles: 60.00 60.00 60.00
Atoms (fractional coordinates):
I 0.2500 0.2500 0.2500
I 0.7500 0.7500 0.7500
Te 0.5000 0.5000 0.5000
Cl 0.0000 0.0000 0.0000

Properties
Its space group is Fm-3m (225). The energy above the most stable polymorph in this dataset is 457 meV per atom. Its density of states at the Fermi level is 2.168 states/eV per cell. Its formation energy without anion corrections is 0.27 eV per atom.

> Which of these has the highest energy above the most stable polymorph in this dataset?

TeI2Cl

> Among the records above, which one has the lowest formation energy without anion corrections?

TeI2Cl